Record 1
The following is a PBE-GGA calculation of a geometry-optimized NdSi4Ru4 structure, from Alexandria.

Values from the calculation:
The value obtained for the energy relative to the elements, uncorrected is -0.627 eV/atom. Its space group is No. 86.

Cell lengths 4.684, 8.010, 8.010 Å; angles 90.00, 90.00, 90.00 degrees
Fractional positions:
Nd (0.000, 0.000, 0.000)
Nd (0.500, 0.500, 0.500)
Si (0.584, 0.848, 0.309)
Si (0.584, 0.152, 0.691)
Si (0.084, 0.809, 0.652)
Si (0.916, 0.348, 0.809)
Si (0.916, 0.652, 0.191)
Si (0.416, 0.309, 0.152)
Si (0.416, 0.691, 0.848)
Si (0.084, 0.191, 0.348)
Ru (0.410, 0.369, 0.867)
Ru (0.910, 0.633, 0.869)
Ru (0.410, 0.631, 0.133)
Ru (0.090, 0.131, 0.633)
Ru (0.590, 0.867, 0.631)
Ru (0.090, 0.869, 0.367)
Ru (0.910, 0.367, 0.131)
Ru (0.590, 0.133, 0.369)

Record 2
The following is a PBE-GGA calculation of a geometry-optimized In2OsRh structure, from Alexandria.

Values from the calculation:
The calculation puts the polymorph energy (0 for the lowest one) at 0 meV per atom. The value obtained for the formation energy is 0.06 eV/atom. Its space group is No. 123.

Cell lengths 4.559, 3.270, 4.558 Å; angles 90.00, 90.00, 90.00 degrees
Fractional positions:
In (0.000, 0.000, 0.000)
In (0.500, 0.000, 0.500)
Os (0.500, 0.500, 0.000)
Rh (0.000, 0.500, 0.500)

Number 1: DFT total energy -7.69 eV per atom, DOS at the Fermi energy 11.8 states/eV per cell. Number 2: DFT total energy -5.95 eV per atom, DOS at the Fermi energy 2.2 states/eV per cell.